First-principles (PBE with a Hubbard U) data for a relaxed CrBiN2O crystal, as listed in the Alexandria database.

Its total DFT energy (no corrections) is -4.9923 eV/atom.

The space group is P4/mmm (No. 123) and the conventional cell measures 4.306, 4.306 and 4.182 Å, with angles of 90.00, 90.00 and 90.00 degrees. The inequivalent atoms are Cr at (0.000, 0.000, 0.000), Bi at (0.500, 0.500, 0.500), N at (0.000, 0.500, 0.500) and O at (0.500, 0.500, 0.000).

First-principles (PBE with a Hubbard U) data for a relaxed CrBiN2O crystal, as listed in the Alexandria database.

Its total DFT energy (no corrections) is -6.4113 eV/atom.

The space group is P4/mmm (No. 123) and the conventional cell measures 3.859, 3.859 and 4.010 Å, with angles of 90.00, 90.00 and 90.00 degrees. The inequivalent atoms are Cr at (0.000, 0.000, 0.000), Bi at (0.500, 0.500, 0.500), N at (0.000, 0.500, 0.000) and O at (0.000, 0.000, 0.500).

First-principles (PBE with a Hubbard U) data for a relaxed Cr2BiNO crystal, as listed in the Alexandria database.

Its total DFT energy (no corrections) is -6.0585 eV/atom.

The space group is P4/mmm (No. 123) and the conventional cell measures 3.890, 3.890 and 5.691 Å, with angles of 90.00, 90.00 and 90.00 degrees. The inequivalent atoms are Cr at (0.000, 0.500, 0.000), Bi at (0.000, 0.000, 0.500), N at (0.500, 0.500, 0.500) and O at (0.500, 0.500, 0.000).